1.
An optimized crystal structure of LaPrNiRh, computed with PBE-GGA.

a b c (Å): 7.1235 7.1235 7.1235
angles (deg): 90.00 90.00 90.00
Space group F-43m (No. 216)
Unique sites:
La 0.0000 0.0000 0.0000 [4 per cell]
Pr 0.0000 0.0000 0.5000 [4 per cell]
Ni 0.2500 0.2500 0.7500 [4 per cell]
Rh 0.2500 0.2500 0.2500 [4 per cell]

## Properties
E, eV per atom: -6.149
Calculated formation energy, eV/atom: -0.4393
Total magnetization, μB/cell: 0.0
Relative energy among the computed polymorphs, meV/atom: 86

2.
An optimized crystal structure of LaPrNiRu, computed with PBE-GGA.

a b c (Å): 4.0916 4.0292 11.2635
angles (deg): 90.00 90.00 90.00
Space group Amm2 (No. 38)
Unique sites:
La 0.0000 0.0000 0.0000 [2 per cell]
Pr 0.5000 0.0000 0.2804 [2 per cell]
Ni 0.0000 0.0000 0.7071 [2 per cell]
Ru 0.5000 0.0000 0.5671 [2 per cell]

## Properties
E, eV per atom: -6.437
Calculated formation energy, eV/atom: -0.2459
Total magnetization, μB/cell: 0.0
Relative energy among the computed polymorphs, meV/atom: 0

3.
An optimized crystal structure of LaPrNiRu, computed with PBE-GGA.

a b c (Å): 7.0981 7.0981 7.0981
angles (deg): 90.00 90.00 90.00
Space group F-43m (No. 216)
Unique sites:
La 0.0000 0.0000 0.0000 [4 per cell]
Pr 0.0000 0.0000 0.5000 [4 per cell]
Ni 0.2500 0.2500 0.2500 [4 per cell]
Ru 0.2500 0.2500 0.7500 [4 per cell]

## Properties
E, eV per atom: -6.343
Calculated formation energy, eV/atom: -0.1524
Total magnetization, μB/cell: 0.0
Relative energy among the computed polymorphs, meV/atom: 93

4.
An optimized crystal structure of LaPrNi2Sb2, computed with PBE-GGA.

a b c (Å): 4.4123 4.4123 8.3997
angles (deg): 90.00 90.00 120.00
Space group P-3m1 (No. 164)
Unique sites:
La 0.0000 0.0000 0.0000 [1 per cell]
Pr 0.0000 0.0000 0.5000 [1 per cell]
Ni 0.3333 0.6667 0.2520 [2 per cell]
Sb 0.3333 0.6667 0.7467 [2 per cell]

## Properties
E, eV per atom: -5.773
Total magnetization, μB/cell: 0.0
E_form (uncorrected), eV/atom: -0.854

5.
An optimized crystal structure of LaPrSiNi, computed with PBE-GGA.

a b c (Å): 4.0973 4.0973 22.3286
angles (deg): 90.00 90.00 120.00
Space group R3m (No. 160, hexagonal axes)
Unique sites:
La 0.0000 0.0000 0.0000 [3 per cell]
Pr 0.0000 0.0000 0.8271 [3 per cell]
Si 0.0000 0.0000 0.2425 [3 per cell]
Ni 0.0000 0.0000 0.5846 [3 per cell]

## Properties
E, eV per atom: -5.745
Total magnetization, μB/cell: 0.8
E_form (uncorrected), eV/atom: -0.517

6.
An optimized crystal structure of La3PrTlNi, computed with PBE-GGA.

a b c (Å): 13.3651 7.3157 7.6681
angles (deg): 90.00 91.17 90.00
Space group C2/m (No. 12)
Unique sites:
La 0.1260 0.2332 0.4193 [8 per cell]
La 0.2127 0.0000 0.8697 [4 per cell]
Pr 0.0000 0.2615 0.0000 [4 per cell]
Tl 0.1621 0.5000 0.7606 [4 per cell]
Ni 0.0265 0.0000 0.6924 [4 per cell]

## Properties
E, eV per atom: -4.796
Calculated formation energy, eV/atom: -0.1777
Total magnetization, μB/cell: 0.0

7.
An optimized crystal structure of LaPrTlNi, computed with PBE-GGA.

a b c (Å): 7.5820 7.5820 7.5820
angles (deg): 90.00 90.00 90.00
Space group F-43m (No. 216)
Unique sites:
La 0.0000 0.0000 0.0000 [4 per cell]
Pr 0.0000 0.0000 0.5000 [4 per cell]
Tl 0.2500 0.2500 0.2500 [4 per cell]
Ni 0.2500 0.2500 0.7500 [4 per cell]

## Properties
E, eV per atom: -4.634
Calculated formation energy, eV/atom: -0.1702
Total magnetization, μB/cell: 0.0

8.
An optimized crystal structure of La4NiPt3, computed with PBE-GGA.

a b c (Å): 3.9846 4.5213 11.1218
angles (deg): 90.00 90.00 90.00
Space group Pmm2 (No. 25)
Unique sites:
La 0.0000 0.0000 0.0000 [1 per cell]
La 0.0000 0.5000 0.2661 [1 per cell]
La 0.5000 0.0000 0.4927 [1 per cell]
La 0.5000 0.5000 0.7681 [1 per cell]
Ni 0.5000 0.0000 0.2149 [1 per cell]
Pt 0.0000 0.0000 0.7243 [1 per cell]
Pt 0.0000 0.5000 0.5392 [1 per cell]
Pt 0.5000 0.5000 0.0507 [1 per cell]

## Properties
E, eV per atom: -6.430
Calculated formation energy, eV/atom: -0.9787
Total magnetization, μB/cell: 0.0